Record 1
Below is CuBrN2O after structural relaxation, with properties calculated at the GGA-PBE level.

Cell: 3.9116 3.9116 3.7352 Å, 90.00 90.00 90.00°
Fractional positions:
Cu  0.0000  0.0000  0.0000
Br  0.5000  0.5000  0.5000
N  0.0000  0.5000  0.0000
N  0.5000  0.0000  0.0000
O  0.0000  0.0000  0.5000

Calculated values
Total magnetization in μB/f.u.: 0.97
DFT total energy in eV/atom: -3.67

---

Record 2
Below is CoCu2Te after structural relaxation, with properties calculated at the GGA-PBE level.

Cell: 5.3251 5.3251 3.6113 Å, 109.50 109.50 122.71°
Fractional positions:
Co  0.0000  0.0000  0.0000
Cu  0.0000  0.5000  0.0000
Cu  0.5000  0.0000  0.0000
Te  0.5000  0.5000  0.0000

Calculated values
Total magnetization in μB/f.u.: 0.30
DFT total energy in eV/atom: -4.25

---

Record 3
Below is Mg2TcAu after structural relaxation, with properties calculated at the GGA-PBE level.

Cell: 2.8265 2.8265 8.4827 Å, 90.00 90.00 90.00°
Fractional positions:
Mg  0.0000  0.0000  0.2468
Mg  0.0000  0.0000  0.7532
Tc  0.5000  0.5000  0.0000
Au  0.5000  0.5000  0.5000

Calculated values
Total magnetization in μB/f.u.: 0.35
Calculated formation energy in kJ per mole of atoms: -6.1
DFT total energy in eV/atom: -4.27
Polymorph energy (0 for the lowest one) in eV/f.u.: 0.000

---

Record 4
Below is Fe2CoCl6 after structural relaxation, with properties calculated at the GGA-PBE level.

Cell: 9.4373 9.4373 6.3632 Å, 105.56 105.56 92.99°
Fractional positions:
Fe  0.1379  0.3025  0.3660
Fe  0.3025  0.1379  0.8660
Fe  0.6975  0.8621  0.1340
Fe  0.8621  0.6975  0.6340
Co  0.2933  0.7067  0.7500
Co  0.7067  0.2933  0.2500
Cl  0.0878  0.6797  0.8628
Cl  0.1074  0.2394  0.6775
Cl  0.2394  0.1074  0.1775
Cl  0.2946  0.5129  0.4469
Cl  0.3203  0.9122  0.6372
Cl  0.4871  0.7054  0.0531
Cl  0.5129  0.2946  0.9469
Cl  0.6797  0.0878  0.3628
Cl  0.7054  0.4871  0.5531
Cl  0.7606  0.8926  0.8225
Cl  0.8926  0.7606  0.3225
Cl  0.9122  0.3203  0.1372

Calculated values
Total magnetization in μB/f.u.: 11.00
DFT total energy in eV/atom: -4.54
Polymorph energy (0 for the lowest one) in eV/f.u.: 0.000

---

Record 5
Below is Y3Pu2NbN6 after structural relaxation, with properties calculated at the GGA-PBE level.

Cell: 5.9023 5.9023 5.8860 Å, 99.61 99.61 119.96°
Fractional positions:
Y  0.0000  0.0000  0.0000
Y  0.3348  0.6652  0.0000
Y  0.6652  0.3348  0.0000
Pu  0.1666  0.8334  0.5000
Pu  0.8334  0.1666  0.5000
Nb  0.5000  0.5000  0.5000
N  0.1004  0.4223  0.2671
N  0.2564  0.2564  0.7367
N  0.4223  0.1004  0.2671
N  0.5777  0.8996  0.7329
N  0.7436  0.7436  0.2633
N  0.8996  0.5777  0.7329

Calculated values
Total magnetization in μB/f.u.: 9.35
DFT total energy in eV/atom: -10.44

---

Record 6
Below is La2P4IrPt3 after structural relaxation, with properties calculated at the GGA-PBE level.

Cell: 4.3129 4.3129 9.6590 Å, 90.00 90.00 90.00°
Fractional positions:
La  0.0000  0.5000  0.2462
La  0.5000  0.0000  0.7538
P  0.0000  0.0000  0.0000
P  0.0000  0.5000  0.6309
P  0.5000  0.0000  0.3691
P  0.5000  0.5000  0.0000
Ir  0.0000  0.0000  0.5000
Pt  0.0000  0.5000  0.8841
Pt  0.5000  0.0000  0.1159
Pt  0.5000  0.5000  0.5000

Calculated values
Total magnetization in μB/f.u.: 0.00
Calculated formation energy in kJ per mole of atoms: -96.9
DFT total energy in eV/atom: -6.85

---

Record 7
Below is Co2NiIr8 after structural relaxation, with properties calculated at the GGA-PBE level.

Cell: 6.9353 6.9353 6.9353 Å, 147.20 120.52 69.60°
Fractional positions:
Co  0.1971  0.1971  0.0000
Co  0.8029  0.8029  0.0000
Ni  0.5000  0.5000  0.0000
Ir  0.0629  0.3438  0.7191
Ir  0.1916  0.0000  0.1916
Ir  0.3484  0.8484  0.5000
Ir  0.3754  0.6562  0.7191
Ir  0.6246  0.3438  0.2809
Ir  0.6516  0.1516  0.5000
Ir  0.8084  0.0000  0.8084
Ir  0.9371  0.6562  0.2809

Calculated values
Total magnetization in μB/f.u.: 2.29
Calculated formation energy in kJ per mole of atoms: 18.1
DFT total energy in eV/atom: -8.07

---

Record 8
Below is TlGeN2 after structural relaxation, with properties calculated at the GGA-PBE level.

Cell: 6.3402 6.3402 6.3402 Å, 34.50 34.50 34.50°
Fractional positions:
Tl  0.0000  0.0000  0.0000
Ge  0.5000  0.5000  0.5000
N  0.4025  0.4025  0.4025
N  0.5975  0.5975  0.5975

Calculated values
Total magnetization in μB/f.u.: 0.00
DFT total energy in eV/atom: -4.89
Polymorph energy (0 for the lowest one) in eV/f.u.: 2.232

---

Record 9
Below is ZrUZn4 after structural relaxation, with properties calculated at the GGA-PBE level.

Cell: 5.3379 5.3379 5.3379 Å, 60.00 60.00 60.00°
Fractional positions:
Zr  0.0000  0.0000  0.0000
U  0.2500  0.2500  0.2500
Zn  0.1227  0.6258  0.6258
Zn  0.6258  0.1227  0.6258
Zn  0.6258  0.6258  0.1227
Zn  0.6258  0.6258  0.6258

Calculated values
Total magnetization in μB/f.u.: 3.28
Calculated formation energy in kJ per mole of atoms: -5.2
DFT total energy in eV/atom: -4.21

---

Record 10
Below is HfSiSI2 after structural relaxation, with properties calculated at the GGA-PBE level.

Cell: 5.3155 5.3155 4.7198 Å, 90.00 90.00 90.00°
Fractional positions:
Hf  0.0000  0.0000  0.0000
Si  0.5000  0.5000  0.0000
S  0.5000  0.5000  0.5000
I  0.0000  0.5000  0.5000
I  0.5000  0.0000  0.5000

Calculated values
Total magnetization in μB/f.u.: 0.00
DFT total energy in eV/atom: -3.51

---

Record 11
Below is BaTlInSn2 after structural relaxation, with properties calculated at the GGA-PBE level.

Cell: 7.5117 7.5117 7.5117 Å, 140.74 140.74 56.73°
Fractional positions:
Ba  0.0000  0.0000  0.0000
Tl  0.7500  0.2500  0.5000
In  0.2500  0.7500  0.5000
Sn  0.3875  0.3875  0.0000
Sn  0.6125  0.6125  0.0000

Calculated values
Total magnetization in μB/f.u.: 0.00
Calculated formation energy in kJ per mole of atoms: -28.1
DFT total energy in eV/atom: -3.30

---

Record 12
Below is MnTeCl2 after structural relaxation, with properties calculated at the GGA-PBE level.

Cell: 3.3323 3.3323 8.4864 Å, 90.00 90.00 90.00°
Fractional positions:
Mn  0.0000  0.0000  0.0000
Te  0.5000  0.5000  0.2332
Cl  0.0000  0.0000  0.4621
Cl  0.5000  0.5000  0.8410

Calculated values
Total magnetization in μB/f.u.: 3.92
DFT total energy in eV/atom: -4.18
Polymorph energy (0 for the lowest one) in eV/f.u.: 1.691

---

Record 13
Below is DyYHo after structural relaxation, with properties calculated at the GGA-PBE level.

Cell: 3.4727 3.4874 16.0908 Å, 90.00 90.00 90.00°
Fractional positions:
Dy  0.2500  0.2500  0.2335
Dy  0.7500  0.7500  0.7665
Y  0.2500  0.7500  0.4222
Y  0.7500  0.2500  0.5778
Ho  0.2500  0.2500  0.9203
Ho  0.7500  0.7500  0.0797

Calculated values
Total magnetization in μB/f.u.: 0.00
Calculated formation energy in kJ per mole of atoms: 14.6
DFT total energy in eV/atom: -5.06
Polymorph energy (0 for the lowest one) in eV/f.u.: 0.386

---

Record 14
Below is TeAsSeBr2 after structural relaxation, with properties calculated at the GGA-PBE level.

Cell: 5.1405 5.1405 5.4876 Å, 90.00 90.00 90.00°
Fractional positions:
Te  0.0000  0.0000  0.0000
As  0.5000  0.5000  0.5000
Se  0.5000  0.5000  0.0000
Br  0.0000  0.5000  0.5000
Br  0.5000  0.0000  0.5000

Calculated values
Total magnetization in μB/f.u.: 1.07
DFT total energy in eV/atom: -2.62
Polymorph energy (0 for the lowest one) in eV/f.u.: 0.000

---

Record 15
Below is YHo4Tm2 after structural relaxation, with properties calculated at the GGA-PBE level.

Cell: 5.9965 8.3507 9.7793 Å, 84.94 72.47 69.08°
Fractional positions:
Y  0.0000  0.0000  0.0000
Y  0.2857  0.1416  0.2940
Ho  0.4655  0.2153  0.9298
Ho  0.5152  0.7110  0.4336
Ho  0.5418  0.7820  0.0740
Ho  0.6825  0.3590  0.2202
Ho  0.7204  0.2851  0.5743
Ho  0.8565  0.8555  0.7205
Ho  0.8987  0.9261  0.3636
Ho  0.9339  0.4291  0.8600
Tm  0.1012  0.5703  0.1471
Tm  0.1234  0.4993  0.4990
Tm  0.3001  0.0704  0.6475
Tm  0.3950  0.6406  0.7954

Calculated values
Total magnetization in μB/f.u.: 0.00
Calculated formation energy in kJ per mole of atoms: 7.7
DFT total energy in eV/atom: -4.74
Polymorph energy (0 for the lowest one) in eV/f.u.: 0.000

---

Record 16
Below is PrGaPd2Pt2 after structural relaxation, with properties calculated at the GGA-PBE level.

Cell: 4.7160 4.7160 5.6457 Å, 90.00 90.00 90.00°
Fractional positions:
Pr  0.0000  0.0000  0.0000
Ga  0.0000  0.0000  0.5000
Pd  0.5000  0.5000  0.2413
Pd  0.5000  0.5000  0.7587
Pt  0.0000  0.5000  0.5000
Pt  0.5000  0.0000  0.5000

Calculated values
Total magnetization in μB/f.u.: 0.00
Calculated formation energy in kJ per mole of atoms: -18.3
DFT total energy in eV/atom: -5.24

---

Record 17
Below is La4CeSm8 after structural relaxation, with properties calculated at the GGA-PBE level.

Cell: 7.8592 7.8592 7.8592 Å, 97.91 97.91 97.91°
Fractional positions:
La  0.0000  0.0000  0.0000
La  0.0000  0.5000  0.5000
La  0.5000  0.0000  0.5000
La  0.5000  0.5000  0.0000
Ce  0.5000  0.5000  0.5000
Sm  0.1634  0.1634  0.6684
Sm  0.1634  0.6684  0.1634
Sm  0.2432  0.2432  0.2432
Sm  0.3316  0.8366  0.8366
Sm  0.6684  0.1634  0.1634
Sm  0.7568  0.7568  0.7568
Sm  0.8366  0.3316  0.8366
Sm  0.8366  0.8366  0.3316

Calculated values
Total magnetization in μB/f.u.: 1.22
Calculated formation energy in kJ per mole of atoms: 37.7
DFT total energy in eV/atom: -4.49

---

Record 18
Below is PmNd5Te4 after structural relaxation, with properties calculated at the GGA-PBE level.

Cell: 9.6769 9.6769 8.7121 Å, 102.13 102.13 26.00°
Fractional positions:
Pm  0.0000  0.0000  0.0000
Nd  0.0000  0.0000  0.5000
Nd  0.3160  0.3160  0.6458
Nd  0.3360  0.3360  0.1905
Nd  0.6640  0.6640  0.8095
Nd  0.6840  0.6840  0.3542
Te  0.1676  0.1676  0.0770
Te  0.4901  0.4901  0.7458
Te  0.5099  0.5099  0.2542
Te  0.8324  0.8324  0.9230

Calculated values
Total magnetization in μB/f.u.: 0.00
DFT total energy in eV/atom: -5.13

---

Record 19
Below is Hf3ZrCl after structural relaxation, with properties calculated at the GGA-PBE level.

Cell: 4.7776 4.7776 4.7776 Å, 90.00 90.00 90.00°
Fractional positions:
Hf  0.0000  0.0000  0.5000
Hf  0.0000  0.5000  0.0000
Hf  0.5000  0.0000  0.0000
Zr  0.5000  0.5000  0.5000
Cl  0.0000  0.0000  0.0000

Calculated values
Total magnetization in μB/f.u.: 0.00
DFT total energy in eV/atom: -8.05
Polymorph energy (0 for the lowest one) in eV/f.u.: 0.000

---

Record 20
Below is MgZnSe2 after structural relaxation, with properties calculated at the GGA-PBE level.

Cell: 3.8450 3.8450 5.4556 Å, 90.00 90.00 90.00°
Fractional positions:
Mg  0.0000  0.0000  0.0000
Zn  0.5000  0.5000  0.5000
Se  0.0000  0.0000  0.5000
Se  0.5000  0.5000  0.0000

Calculated values
Total magnetization in μB/f.u.: 0.00
DFT total energy in eV/atom: -3.27

---

Record 21
Below is BaBe2Co after structural relaxation, with properties calculated at the GGA-PBE level.

Cell: 8.0660 8.0660 8.0660 Å, 146.58 146.58 47.98°
Fractional positions:
Ba  0.3750  0.6250  0.7500
Ba  0.6250  0.3750  0.2500
Be  0.0000  0.0000  0.0000
Be  0.0000  0.0000  0.5000
Be  0.0000  0.5000  0.0000
Be  0.5000  0.0000  0.5000
Co  0.1250  0.8750  0.2500
Co  0.8750  0.1250  0.7500

Calculated values
Total magnetization in μB/f.u.: 0.00
Calculated formation energy in kJ per mole of atoms: 39.2
DFT total energy in eV/atom: -3.71
Polymorph energy (0 for the lowest one) in eV/f.u.: 1.113